AlCdP3: single point on PBEsol structure, SCAN.

```
AlCdP3
1.0
4.620 0.000 0.000
0.000 4.620 0.000
0.000 0.000 4.620
P Al Cd
3 1 1
Cartesian
0.000 2.310 0.000
0.000 0.000 2.310
2.310 0.000 0.000
0.000 0.000 0.000
2.310 2.310 2.310
```

Values from the calculation:
The calculation puts the magnetic moment at 0.0 μB/f.u. As for the formation energy: 0.69 eV/atom. Its excess energy over the best structure of this formula in the dataset is 0 meV per atom.

***

AlCdP2: single point on PBEsol structure, SCAN.

```
AlCdP2
1.0
2.802 0.000 0.000
0.000 4.894 0.000
0.000 0.000 4.894
P Al Cd
2 1 1
Cartesian
0.000 0.000 2.447
0.000 2.447 0.000
1.401 2.447 2.447
1.401 0.000 0.000
```

Values from the calculation:
The calculation puts the magnetic moment at 0.0 μB/f.u. As for the formation energy: 0.36 eV/atom. Its excess energy over the best structure of this formula in the dataset is 571 meV per atom.

***

AlCdP2: single point on PBEsol structure, SCAN.

```
AlCdP2
1.0
-0.582 -1.790 3.074
3.303 1.133 1.285
-2.264 4.268 2.056
P Al Cd
2 1 1
Cartesian
0.000 0.000 0.000
0.519 2.700 1.671
1.360 -0.328 2.180
-1.423 1.239 2.565
```

Values from the calculation:
The calculation puts the magnetic moment at 0.0 μB/f.u. As for the formation energy: 0.38 eV/atom. Its excess energy over the best structure of this formula in the dataset is 588 meV per atom.

***

AlCdP2: single point on PBEsol structure, SCAN.

```
AlCdP2
1.0
-1.559 3.201 0.759
-2.991 -1.729 1.148
4.293 -0.931 4.012
P Al Cd
2 1 1
Cartesian
0.000 0.000 0.000
0.230 1.503 2.862
-2.275 0.736 0.954
-0.486 -0.962 3.056
```

Values from the calculation:
The calculation puts the magnetic moment at 0.0 μB/f.u. As for the formation energy: 0.36 eV/atom. Its excess energy over the best structure of this formula in the dataset is 569 meV per atom.